Entry 1:
A relaxed structure of TbGd2In, computed with GGA-PBE.

## Properties
- Magnetization: 14.8 μB per formula unit
- E_form: 9 kJ per mole of atoms
- Energy: -105.45 eV per cell

Cell: 3.5138 3.5138 36.3779 Å, 90.00 90.00 120.00°
Space group R-3m (No. 166, hexagonal axes)
Asymmetric unit:
Tb (0.0000, 0.0000, 0.0000)
Gd (0.0000, 0.0000, 0.4117)
In (0.0000, 0.0000, 0.5000)

***

Entry 2:
A relaxed structure of Pr2EuHo, computed with GGA-PBE.

## Properties
- Magnetization: 7.1 μB per formula unit
- E_form: 7 kJ per mole of atoms
- Energy: -24.14 eV per cell

Cell: 5.2365 5.2365 5.1737 Å, 90.00 90.00 90.00°
Space group P4/mmm (No. 123)
Asymmetric unit:
Pr (0.0000, 0.5000, 0.0000)
Eu (0.0000, 0.0000, 0.5000)
Ho (0.5000, 0.5000, 0.5000)

***

Entry 3:
A relaxed structure of TaPbBr2, computed with GGA-PBE.

## Properties
- Magnetization: 1.1 μB per formula unit
- Formation energy from raw total energies: 0.85 eV per formula unit
- Energy: -72.24 eV per cell

Cell: 9.0541 9.0541 5.7940 Å, 90.00 90.00 90.00°
Space group I-42d (No. 122)
Asymmetric unit:
Ta (0.0000, 0.0000, 0.0000)
Pb (0.0000, 0.0000, 0.5000)
Br (0.1260, 0.2500, 0.1250)

***

Entry 4:
A relaxed structure of Pm5Pr3Tl2, computed with GGA-PBE.

## Properties
- Magnetization: 0.0 μB per formula unit
- E_form: 7 kJ per mole of atoms
- Energy: -168.54 eV per cell

Cell: 13.2890 15.4789 6.7199 Å, 90.00 90.00 90.00°
Space group Ibam (No. 72)
Asymmetric unit:
Pm (0.0000, 0.0000, 0.2500)
Pm (0.1171, 0.1621, 0.0000)
Pm (0.2470, 0.0000, 0.2500)
Pr (0.0000, 0.5000, 0.2500)
Pr (0.1210, 0.2596, 0.5000)
Tl (0.1325, 0.3549, 0.0000)

***

Entry 5:
A relaxed structure of TbNd15Tl4, computed with GGA-PBE.

## Properties
- Magnetization: 0.0 μB per formula unit
- E_form: -15 kJ per mole of atoms
- Energy: -88.74 eV per cell

Cell: 4.9930 4.9930 25.5572 Å, 90.00 90.00 90.00°
Space group P4/mmm (No. 123)
Asymmetric unit:
Tb (0.0000, 0.0000, 0.0000)
Nd (0.0000, 0.5000, 0.1048)
Nd (0.0000, 0.5000, 0.3032)
Nd (0.0000, 0.5000, 0.5000)
Nd (0.5000, 0.5000, 0.0000)
Nd (0.5000, 0.5000, 0.2044)
Nd (0.5000, 0.5000, 0.4016)
Tl (0.0000, 0.0000, 0.2058)
Tl (0.0000, 0.0000, 0.4017)

***

Entry 6:
A relaxed structure of Mg2TcHg, computed with GGA-PBE.

## Properties
- Magnetization: 1.0 μB per formula unit
- E_form: 48 kJ per mole of atoms
- Energy: -47.42 eV per cell

Cell: 7.4112 7.4112 5.7335 Å, 90.00 90.00 90.00°
Space group I-42d (No. 122)
Asymmetric unit:
Mg (0.2473, 0.2500, 0.1250)
Tc (0.0000, 0.0000, 0.0000)
Hg (0.0000, 0.0000, 0.5000)

***

Entry 7:
A relaxed structure of Ni2SbP, computed with GGA-PBE.

## Properties
- Magnetization: 0.0 μB per formula unit
- Formation energy from raw total energies: 1.60 eV per formula unit
- Energy: -78.00 eV per cell

Cell: 6.2187 6.2187 6.2187 Å, 90.00 90.00 90.00°
Space group F-43m (No. 216)
Asymmetric unit:
Ni (0.0000, 0.0000, 0.0000)
Ni (0.2500, 0.2500, 0.2500)
Sb (0.0000, 0.0000, 0.5000)
P (0.2500, 0.2500, 0.7500)

***

Entry 8:
A relaxed structure of Li2CrSb2, computed with GGA-PBE.

## Properties
- Magnetization: 0.0 μB per formula unit
- Formation energy from raw total energies: 0.02 eV per formula unit
- Energy: -43.36 eV per cell

Cell: 6.8683 6.8683 4.1722 Å, 90.00 90.00 90.00°
Space group P4/mbm (No. 127)
Asymmetric unit:
Li (0.1568, 0.3432, 0.0000)
Cr (0.0000, 0.0000, 0.5000)
Sb (0.1563, 0.6563, 0.5000)

***

Look up the energy of the eighth one.
-43.36 eV per cell

***

What is the formula in the third record?
TaPbBr2

***

Repeat the first record exactly.
A relaxed structure of TbGd2In, computed with GGA-PBE.

## Properties
- Magnetization: 14.8 μB per formula unit
- E_form: 9 kJ per mole of atoms
- Energy: -105.45 eV per cell

Cell: 3.5138 3.5138 36.3779 Å, 90.00 90.00 120.00°
Space group R-3m (No. 166, hexagonal axes)
Asymmetric unit:
Tb (0.0000, 0.0000, 0.0000)
Gd (0.0000, 0.0000, 0.4117)
In (0.0000, 0.0000, 0.5000)

***

Copy entry 2 word for word.
A relaxed structure of Pr2EuHo, computed with GGA-PBE.

## Properties
- Magnetization: 7.1 μB per formula unit
- E_form: 7 kJ per mole of atoms
- Energy: -24.14 eV per cell

Cell: 5.2365 5.2365 5.1737 Å, 90.00 90.00 90.00°
Space group P4/mmm (No. 123)
Asymmetric unit:
Pr (0.0000, 0.5000, 0.0000)
Eu (0.0000, 0.0000, 0.5000)
Ho (0.5000, 0.5000, 0.5000)